Here is NiAg2Au after structural relaxation from the Alexandria database. Energies are from GGA-PBE.

CIF file:
```
data_NiAg2Au
_chemical_formula_sum 'Ni1 Ag2 Au1'
_symmetry_space_group_name_H-M 'P 1'
_symmetry_Int_Tables_number 1
_cell_length_a 4.5254
_cell_length_b 4.5254
_cell_length_c 4.5254
_cell_angle_alpha 60.00
_cell_angle_beta 60.00
_cell_angle_gamma 60.00
loop_
_symmetry_equiv_pos_as_xyz
'x,y,z'
loop_
_atom_site_label
_atom_site_type_symbol
_atom_site_fract_x
_atom_site_fract_y
_atom_site_fract_z
_atom_site_occupancy
Ni1 Ni 0.0000 0.0000 0.0000 1
Au1 Au 0.5000 0.5000 0.5000 1
Ag1 Ag 0.2500 0.2500 0.2500 1
Ag2 Ag 0.7500 0.7500 0.7500 1
```

## Properties
SG ... Fm-3m, No. 225
Crystal system ... cubic
ρ ... 11.9 Mg/m³
DOS(E_F) ... 0.47 states/eV per atom
E_form ... 0.8 eV/f.u.